(1)
Below is a relaxed structure of TaAlPt, with properties calculated at the PBE-GGA level.

Output
DOS(E_F) = 2.18 states/eV/cell
Total magnetic moment = 0.00 μB/cell
ΔE_f = -393 meV/atom
Symmetry = P3m1

a b c (Å): 2.9146 2.9146 6.6830
angles (deg): 90.00 90.00 120.00
Closest atoms and distances in Å follow each position.
Positions (direct):
Ta  0.0000  0.0000  0.0000  3 Pt 2.82, 3 Al 2.88, 6 Ta 2.91
Al  0.6667  0.3333  0.3503  3 Pt 2.67, 3 Ta 2.88, 6 Al 2.91
Pt  0.3333  0.6667  0.6611  3 Al 2.67, 3 Ta 2.82, 6 Pt 2.91

=====

(2)
Below is a relaxed structure of TaAl2Pt2, with properties calculated at the PBE-GGA level.

Output
DOS(E_F) = 4.20 states/eV/cell
Total magnetic moment = 0.00 μB/cell
Distance to the lowest polymorph of the same formula = 4.4 meV/atom
ΔE_f = -664 meV/atom
Symmetry = P4/mbm

a b c (Å): 7.4879 7.4879 2.8110
angles (deg): 90.00 90.00 90.00
Closest atoms and distances in Å follow each position.
Positions (direct):
Ta  0.0000  0.0000  0.0000  2 Ta 2.81, 4 Pt 2.91, 8 Al 3.14
Ta  0.5000  0.5000  0.0000  2 Ta 2.81, 4 Pt 2.91, 8 Al 3.14
Al  0.1616  0.3384  0.5000  6 Pt 2.56-2.64, 2 Al 2.81
Al  0.3384  0.8384  0.5000  6 Pt 2.56-2.64, 2 Al 2.81
Al  0.6616  0.1616  0.5000  6 Pt 2.56-2.64, 2 Al 2.81
Al  0.8384  0.6616  0.5000  6 Pt 2.56-2.64, 2 Al 2.81
Pt  0.1358  0.6358  0.0000  6 Al 2.56-2.64, 2 Pt 2.81
Pt  0.3642  0.1358  0.0000  6 Al 2.56-2.64, 2 Pt 2.81
Pt  0.6358  0.8642  0.0000  6 Al 2.56-2.64, 2 Pt 2.81
Pt  0.8642  0.3642  0.0000  6 Al 2.56-2.64, 2 Pt 2.81

=====

(3)
Below is a relaxed structure of TaAlTcPt, with properties calculated at the PBE-GGA level.

Output
DOS(E_F) = 17.24 states/eV/cell
Total magnetic moment = 0.00 μB/cell
ΔE_f = -541 meV/atom
Symmetry = F-43m

a b c (Å): 6.2960 6.2960 6.2960
angles (deg): 90.00 90.00 90.00
Closest atoms and distances in Å follow each position.
Positions (direct):
Ta  0.0000  0.0000  0.0000  4 Tc 2.73, 4 Pt 2.73
Ta  0.0000  0.5000  0.5000  4 Tc 2.73, 4 Pt 2.73
Ta  0.5000  0.0000  0.5000  4 Tc 2.73, 4 Pt 2.73
Ta  0.5000  0.5000  0.0000  4 Tc 2.73, 4 Pt 2.73
Al  0.0000  0.0000  0.5000  4 Tc 2.73, 4 Pt 2.73
Al  0.0000  0.5000  0.0000  4 Tc 2.73, 4 Pt 2.73
Al  0.5000  0.0000  0.0000  4 Tc 2.73, 4 Pt 2.73
Al  0.5000  0.5000  0.5000  4 Tc 2.73, 4 Pt 2.73
Tc  0.2500  0.2500  0.7500  4 Ta 2.73, 4 Al 2.73
Tc  0.2500  0.7500  0.2500  4 Ta 2.73, 4 Al 2.73
Tc  0.7500  0.2500  0.2500  4 Ta 2.73, 4 Al 2.73
Tc  0.7500  0.7500  0.7500  4 Al 2.73, 4 Ta 2.73
Pt  0.2500  0.2500  0.2500  4 Ta 2.73, 4 Al 2.73
Pt  0.2500  0.7500  0.7500  4 Ta 2.73, 4 Al 2.73
Pt  0.7500  0.2500  0.7500  4 Ta 2.73, 4 Al 2.73
Pt  0.7500  0.7500  0.2500  4 Ta 2.73, 4 Al 2.73

=====

(4)
Below is a relaxed structure of TaAlV2Pt, with properties calculated at the PBE-GGA level.

Output
DOS(E_F) = 7.38 states/eV/cell
Total magnetic moment = 0.00 μB/cell
ΔE_f = 1335 meV/atom
Symmetry = P4/mmm

a b c (Å): 4.5001 4.5001 4.8966
angles (deg): 90.00 90.00 90.00
Closest atoms and distances in Å follow each position.
Positions (direct):
Ta  0.0000  0.0000  0.0000  4 V 2.25, 2 Al 2.45
Al  0.0000  0.0000  0.5000  2 Ta 2.45
V  0.0000  0.5000  0.0000  2 Ta 2.25
V  0.5000  0.0000  0.0000  2 Ta 2.25
Pt  0.5000  0.5000  0.5000  4 Al 3.18, 8 V 3.33

=====

(5)
Below is a relaxed structure of TbAlPt6, with properties calculated at the PBE-GGA level.

Output
DOS(E_F) = 6.96 states/eV/cell
Total magnetic moment = 0.00 μB/cell
ΔE_f = -840 meV/atom
Symmetry = P4/mmm

a b c (Å): 4.0555 4.0555 7.9676
angles (deg): 90.00 90.00 90.00
Closest atoms and distances in Å follow each position.
Positions (direct):
Tb  0.0000  0.0000  0.0000  12 Pt 2.87-2.94
Al  0.0000  0.0000  0.5000  12 Pt 2.74-2.87
Pt  0.0000  0.5000  0.2678  8 Pt 2.74-2.94, 2 Al 2.74, 2 Tb 2.94
Pt  0.0000  0.5000  0.7322  2 Al 2.74, 8 Pt 2.74-2.94, 2 Tb 2.94
Pt  0.5000  0.0000  0.2678  8 Pt 2.74-2.94, 2 Al 2.74, 2 Tb 2.94
Pt  0.5000  0.0000  0.7322  2 Al 2.74, 8 Pt 2.74-2.94, 2 Tb 2.94
Pt  0.5000  0.5000  0.0000  4 Tb 2.87, 8 Pt 2.94
Pt  0.5000  0.5000  0.5000  8 Pt 2.74, 4 Al 2.87

=====

(6)
Below is a relaxed structure of TbAlPt2, with properties calculated at the PBE-GGA level.

Output
DOS(E_F) = 8.72 states/eV/cell
Total magnetic moment = 0.00 μB/cell
ΔE_f = -1172 meV/atom
Symmetry = Pnma

a b c (Å): 7.2743 7.0972 5.7490
angles (deg): 90.00 90.00 90.00
Closest atoms and distances in Å follow each position.
Positions (direct):
Tb  0.0261  0.2500  0.1490  8 Pt 3.02-3.16, 3 Al 3.03-3.12
Tb  0.4739  0.7500  0.6490  8 Pt 3.02-3.16, 3 Al 3.03-3.12
Tb  0.5261  0.2500  0.3510  8 Pt 3.02-3.16, 3 Al 3.03-3.12
Tb  0.9739  0.7500  0.8510  8 Pt 3.02-3.16, 3 Al 3.03-3.12
Al  0.1145  0.7500  0.3541  6 Pt 2.55-2.62
Al  0.3855  0.2500  0.8541  6 Pt 2.55-2.62
Al  0.6145  0.7500  0.1459  6 Pt 2.55-2.62
Al  0.8855  0.2500  0.6459  6 Pt 2.55-2.62
Pt  0.1849  0.0511  0.5852  3 Al 2.55-2.62, 1 Pt 2.82
Pt  0.1849  0.4489  0.5852  3 Al 2.55-2.62, 1 Pt 2.82
Pt  0.3151  0.5511  0.0852  3 Al 2.55-2.62, 1 Pt 2.82
Pt  0.3151  0.9489  0.0852  3 Al 2.55-2.62, 1 Pt 2.82
Pt  0.6849  0.0511  0.9148  3 Al 2.55-2.62, 1 Pt 2.82
Pt  0.6849  0.4489  0.9148  3 Al 2.55-2.62, 1 Pt 2.82
Pt  0.8151  0.5511  0.4148  3 Al 2.55-2.62, 1 Pt 2.82
Pt  0.8151  0.9489  0.4148  3 Al 2.55-2.62, 1 Pt 2.82